# 1
# Hg2Pt2F

An optimized crystal structure of Hg2Pt2F (PBE, Alexandria via LeMat-Bulk).

Output
For the distance to the lowest polymorph of the same formula, the calculation gives 0.0 kJ per mole of atoms. The density of states at the Fermi level comes out at 2.43 states/eV per cell. The energy relative to the elements, uncorrected comes out at -0.181 eV per atom. Its space-group type is I4/mmm, No. 139. As for the volume: 20.39 Å³ per atom.

Geometry as CIF:
```
data_Hg2Pt2F
_cell_length_a 5.161
_cell_length_b 5.161
_cell_length_c 5.161
_cell_angle_alpha 116.27
_cell_angle_beta 116.27
_cell_angle_gamma 96.60
_symmetry_space_group_name_H-M 'P 1'
_symmetry_Int_Tables_number 1
loop_
_symmetry_equiv_pos_as_xyz
'x,y,z'
loop_
_atom_site_label
_atom_site_fract_x
_atom_site_fract_y
_atom_site_fract_z
Hg1 0.250 0.750 0.500
Hg2 0.750 0.250 0.500
Pt1 0.182 0.182 0.000
Pt2 0.818 0.818 0.000
F1 0.500 0.500 0.000
```

***

# 2
# Pr2Nd12Sm5

An optimized crystal structure of Pr2Nd12Sm5 (PBE, Alexandria via LeMat-Bulk).

Output
For the distance to the lowest polymorph of the same formula, the calculation gives 0.7 kJ per mole of atoms. The density of states at the Fermi level comes out at 25.02 states/eV per cell. As for the energy relative to the elements: 0.122 eV per atom. Its space-group type is C2/m, No. 12. As for the volume: 35.48 Å³ per atom.

Geometry as CIF:
```
data_Pr2Nd12Sm5
_cell_length_a 9.315
_cell_length_b 9.315
_cell_length_c 8.909
_cell_angle_alpha 92.26
_cell_angle_beta 92.26
_cell_angle_gamma 60.81
_symmetry_space_group_name_H-M 'P 1'
_symmetry_Int_Tables_number 1
loop_
_symmetry_equiv_pos_as_xyz
'x,y,z'
loop_
_atom_site_label
_atom_site_fract_x
_atom_site_fract_y
_atom_site_fract_z
Pr1 0.171 0.829 0.000
Pr2 0.829 0.171 0.000
Nd1 0.059 0.059 0.345
Nd2 0.065 0.673 0.321
Nd3 0.171 0.531 0.759
Nd4 0.327 0.935 0.679
Nd5 0.427 0.427 0.121
Nd6 0.469 0.829 0.241
Nd7 0.531 0.171 0.759
Nd8 0.573 0.573 0.879
Nd9 0.673 0.065 0.321
Nd10 0.829 0.469 0.241
Nd11 0.935 0.327 0.679
Nd12 0.941 0.941 0.655
Sm1 0.209 0.209 0.035
Sm2 0.268 0.268 0.432
Sm3 0.500 0.500 0.500
Sm4 0.732 0.732 0.568
Sm5 0.791 0.791 0.965
```

***

# 3
# KNa2CdO

An optimized crystal structure of KNa2CdO (PBE, Alexandria via LeMat-Bulk).

Output
The density of states at the Fermi level comes out at 2.69 states/eV per cell. The energy relative to the elements, uncorrected comes out at -0.574 eV per atom. Its space-group type is P4/mmm, No. 123. As for the volume: 25.38 Å³ per atom.

Geometry as CIF:
```
data_KNa2CdO
_cell_length_a 4.836
_cell_length_b 4.836
_cell_length_c 5.425
_cell_angle_alpha 90.00
_cell_angle_beta 90.00
_cell_angle_gamma 90.00
_symmetry_space_group_name_H-M 'P 1'
_symmetry_Int_Tables_number 1
loop_
_symmetry_equiv_pos_as_xyz
'x,y,z'
loop_
_atom_site_label
_atom_site_fract_x
_atom_site_fract_y
_atom_site_fract_z
K1 0.000 0.000 0.000
Na1 0.000 0.500 0.500
Na2 0.500 0.000 0.500
Cd1 0.500 0.500 0.000
O1 0.000 0.000 0.500
```